# 1
First-principles (PBE) data for a geometry-optimized MgNbI2N structure, as listed in the Alexandria database.

a b c (Å): 5.6322 5.6322 3.8664
angles (deg): 90.00 90.00 90.00
Atoms (fractional coordinates):
I (0.5000, 0.0000, 0.0000)
I (0.0000, 0.5000, 0.0000)
Mg (0.0000, 0.0000, 0.0000)
N (0.0000, 0.0000, 0.5000)
Nb (0.5000, 0.5000, 0.5000)

formation energy without anion corrections	940	meV per atom
energy above the lowest structure with this stoichiometry	942	meV/atom
total magnetization	2.6	μB/f.u.
final energy	-3.678	eV per atom
space group	P4/mmm



# 2
First-principles (PBE) data for a geometry-optimized MgNbIN2 structure, as listed in the Alexandria database.

a b c (Å): 4.0490 4.0490 5.2456
angles (deg): 90.00 90.00 90.00
Atoms (fractional coordinates):
N (0.0000, 0.5000, 0.0000)
N (0.5000, 0.0000, 0.0000)
I (0.0000, 0.0000, 0.5000)
Nb (0.5000, 0.5000, 0.5000)
Mg (0.0000, 0.0000, 0.0000)

formation energy without anion corrections	1547	meV per atom
energy above the lowest structure with this stoichiometry	1264	meV/atom
total magnetization	0.0	μB/f.u.
final energy	-4.426	eV per atom
space group	P4/mmm



# 3
First-principles (PBE) data for a geometry-optimized MgNbI2N structure, as listed in the Alexandria database.

a b c (Å): 5.7595 5.7595 3.9552
angles (deg): 90.00 90.00 90.00
Atoms (fractional coordinates):
Mg (0.5000, 0.5000, 0.5000)
N (0.0000, 0.0000, 0.5000)
I (0.5000, 0.0000, 0.0000)
I (0.0000, 0.5000, 0.0000)
Nb (0.0000, 0.0000, 0.0000)

formation energy without anion corrections	-3	meV per atom
energy above the lowest structure with this stoichiometry	0	meV/atom
total magnetization	0.0	μB/f.u.
final energy	-4.621	eV per atom
space group	P4/mmm



# 4
First-principles (PBE) data for a geometry-optimized MgNbIN2 structure, as listed in the Alexandria database.

a b c (Å): 4.1018 4.1018 5.7964
angles (deg): 90.00 90.00 90.00
Atoms (fractional coordinates):
N (0.5000, 0.0000, 0.0000)
N (0.0000, 0.5000, 0.0000)
Mg (0.5000, 0.5000, 0.5000)
Nb (0.0000, 0.0000, 0.0000)
I (0.0000, 0.0000, 0.5000)

formation energy without anion corrections	284	meV per atom
energy above the lowest structure with this stoichiometry	0	meV/atom
total magnetization	0.0	μB/f.u.
final energy	-5.689	eV per atom
space group	P4/mmm



# 5
First-principles (PBE) data for a geometry-optimized MgINO2 structure, as listed in the Alexandria database.

a b c (Å): 3.8861 3.8861 4.2218
angles (deg): 90.00 90.00 90.00
Atoms (fractional coordinates):
O (0.5000, 0.0000, 0.0000)
O (0.0000, 0.5000, 0.0000)
Mg (0.0000, 0.0000, 0.0000)
I (0.5000, 0.5000, 0.5000)
N (0.0000, 0.0000, 0.5000)

formation energy without anion corrections	394	meV per atom
total magnetization	1.3	μB/f.u.
final energy	-3.883	eV per atom
space group	P4/mmm



# 6
First-principles (PBE) data for a geometry-optimized MgIN2O structure, as listed in the Alexandria database.

a b c (Å): 4.1247 4.1247 4.2454
angles (deg): 90.00 90.00 90.00
Atoms (fractional coordinates):
N (0.5000, 0.0000, 0.0000)
N (0.0000, 0.5000, 0.0000)
Mg (0.5000, 0.5000, 0.5000)
O (0.0000, 0.0000, 0.0000)
I (0.0000, 0.0000, 0.5000)

formation energy without anion corrections	1747	meV per atom
total magnetization	1.1	μB/f.u.
final energy	-3.203	eV per atom
space group	P4/mmm



# 7
First-principles (PBE) data for a geometry-optimized MgINO2 structure, as listed in the Alexandria database.

a b c (Å): 4.0563 4.0563 4.1720
angles (deg): 90.00 90.00 90.00
Atoms (fractional coordinates):
O (0.0000, 0.5000, 0.0000)
O (0.5000, 0.0000, 0.0000)
N (0.0000, 0.0000, 0.0000)
Mg (0.5000, 0.5000, 0.5000)
I (0.0000, 0.0000, 0.5000)

formation energy without anion corrections	767	meV per atom
total magnetization	0.0	μB/f.u.
final energy	-3.510	eV per atom
space group	P4/mmm



# 8
First-principles (PBE) data for a geometry-optimized MgINO2 structure, as listed in the Alexandria database.

a b c (Å): 4.1144 4.1144 4.2007
angles (deg): 90.00 90.00 90.00
Atoms (fractional coordinates):
Mg (0.5000, 0.5000, 0.5000)
N (0.0000, 0.0000, 0.5000)
O (0.0000, 0.5000, 0.0000)
O (0.5000, 0.0000, 0.0000)
I (0.0000, 0.0000, 0.0000)

formation energy without anion corrections	252	meV per atom
total magnetization	0.0	μB/f.u.
final energy	-4.025	eV per atom
space group	P4/mmm



# 9
First-principles (PBE) data for a geometry-optimized MgINO2 structure, as listed in the Alexandria database.

a b c (Å): 3.7726 3.7726 7.1813
angles (deg): 90.00 90.00 90.00
Atoms (fractional coordinates):
I (0.0000, 0.0000, 0.5000)
N (0.5000, 0.5000, 0.5000)
O (0.5000, 0.0000, 0.0000)
O (0.0000, 0.5000, 0.0000)
Mg (0.0000, 0.0000, 0.0000)

formation energy without anion corrections	467	meV per atom
total magnetization	3.1	μB/f.u.
final energy	-3.810	eV per atom
space group	P4/mmm



# 10
First-principles (PBE) data for a geometry-optimized MgIN2O structure, as listed in the Alexandria database.

a b c (Å): 4.2308 4.2308 3.8388
angles (deg): 90.00 90.00 90.00
Atoms (fractional coordinates):
Mg (0.0000, 0.0000, 0.0000)
N (0.5000, 0.0000, 0.0000)
N (0.0000, 0.5000, 0.0000)
I (0.5000, 0.5000, 0.5000)
O (0.0000, 0.0000, 0.5000)

formation energy without anion corrections	1191	meV per atom
total magnetization	2.7	μB/f.u.
final energy	-3.759	eV per atom
space group	P4/mmm



# 11
First-principles (PBE) data for a geometry-optimized MgIN2O structure, as listed in the Alexandria database.

a b c (Å): 3.8833 3.8833 6.5231
angles (deg): 90.00 90.00 90.00
Atoms (fractional coordinates):
N (0.5000, 0.0000, 0.0000)
N (0.0000, 0.5000, 0.0000)
I (0.0000, 0.0000, 0.5000)
O (0.5000, 0.5000, 0.5000)
Mg (0.0000, 0.0000, 0.0000)

formation energy without anion corrections	1596	meV per atom
total magnetization	3.2	μB/f.u.
final energy	-3.354	eV per atom
space group	P4/mmm



# 12
First-principles (PBE) data for a geometry-optimized MgIN2O structure, as listed in the Alexandria database.

a b c (Å): 4.0559 4.0559 4.0314
angles (deg): 90.00 90.00 90.00
Atoms (fractional coordinates):
N (0.5000, 0.0000, 0.0000)
N (0.0000, 0.5000, 0.0000)
I (0.0000, 0.0000, 0.0000)
O (0.0000, 0.0000, 0.5000)
Mg (0.5000, 0.5000, 0.5000)

formation energy without anion corrections	930	meV per atom
total magnetization	0.1	μB/f.u.
final energy	-4.021	eV per atom
space group	P4/mmm



# 13
First-principles (PBE) data for a geometry-optimized MgOsI2N structure, as listed in the Alexandria database.

a b c (Å): 5.6178 5.6178 3.7585
angles (deg): 90.00 90.00 90.00
Atoms (fractional coordinates):
I (0.0000, 0.5000, 0.0000)
I (0.5000, 0.0000, 0.0000)
N (0.0000, 0.0000, 0.5000)
Os (0.0000, 0.0000, 0.0000)
Mg (0.5000, 0.5000, 0.5000)

formation energy without anion corrections	286	meV per atom
energy above the lowest structure with this stoichiometry	0	meV/atom
total magnetization	0.0	μB/f.u.
final energy	-4.564	eV per atom
space group	P4/mmm



# 14
First-principles (PBE) data for a geometry-optimized MgOsI2N structure, as listed in the Alexandria database.

a b c (Å): 5.6971 5.6971 3.9574
angles (deg): 90.00 90.00 90.00
Atoms (fractional coordinates):
I (0.5000, 0.0000, 0.0000)
I (0.0000, 0.5000, 0.0000)
Os (0.5000, 0.5000, 0.5000)
N (0.0000, 0.0000, 0.5000)
Mg (0.0000, 0.0000, 0.0000)

formation energy without anion corrections	1454	meV per atom
energy above the lowest structure with this stoichiometry	1168	meV/atom
total magnetization	5.4	μB/f.u.
final energy	-3.396	eV per atom
space group	P4/mmm



# 15
First-principles (PBE) data for a geometry-optimized MgPIN2 structure, as listed in the Alexandria database.

a b c (Å): 4.2105 4.2105 6.0904
angles (deg): 90.00 90.00 90.00
Atoms (fractional coordinates):
P (0.5000, 0.5000, 0.5000)
N (0.5000, 0.0000, 0.0000)
N (0.0000, 0.5000, 0.0000)
Mg (0.0000, 0.0000, 0.0000)
I (0.0000, 0.0000, 0.5000)

formation energy without anion corrections	1545	meV per atom
energy above the lowest structure with this stoichiometry	605	meV/atom
total magnetization	2.8	μB/f.u.
final energy	-3.496	eV per atom
space group	P4/mmm



# 16
First-principles (PBE) data for a geometry-optimized MgPIN2 structure, as listed in the Alexandria database.

a b c (Å): 3.6942 3.6942 6.4523
angles (deg): 90.00 90.00 90.00
Atoms (fractional coordinates):
N (0.0000, 0.5000, 0.0000)
N (0.5000, 0.0000, 0.0000)
I (0.0000, 0.0000, 0.5000)
P (0.0000, 0.0000, 0.0000)
Mg (0.5000, 0.5000, 0.5000)

formation energy without anion corrections	940	meV per atom
energy above the lowest structure with this stoichiometry	0	meV/atom
total magnetization	0.0	μB/f.u.
final energy	-4.101	eV per atom
space group	P4/mmm



# 17
First-principles (PBE) data for a geometry-optimized MgPbIN2 structure, as listed in the Alexandria database.

a b c (Å): 4.4461 4.4461 6.8738
angles (deg): 90.00 90.00 90.00
Atoms (fractional coordinates):
I (0.0000, 0.0000, 0.5000)
Pb (0.0000, 0.0000, 0.0000)
N (0.5000, 0.0000, 0.0000)
N (0.0000, 0.5000, 0.0000)
Mg (0.5000, 0.5000, 0.5000)

formation energy without anion corrections	1335	meV per atom
energy above the lowest structure with this stoichiometry	262	meV/atom
total magnetization	2.0	μB/f.u.
final energy	-3.366	eV per atom
space group	P4/mmm



# 18
First-principles (PBE) data for a geometry-optimized MgPbIN2 structure, as listed in the Alexandria database.

a b c (Å): 4.4814 4.4814 5.9653
angles (deg): 90.00 90.00 90.00
Atoms (fractional coordinates):
Mg (0.0000, 0.0000, 0.0000)
Pb (0.5000, 0.5000, 0.5000)
I (0.0000, 0.0000, 0.5000)
N (0.0000, 0.5000, 0.0000)
N (0.5000, 0.0000, 0.0000)

formation energy without anion corrections	1073	meV per atom
energy above the lowest structure with this stoichiometry	0	meV/atom
total magnetization	3.0	μB/f.u.
final energy	-3.627	eV per atom
space group	P4/mmm



# 19
First-principles (PBE) data for a geometry-optimized MgPbI2N structure, as listed in the Alexandria database.

a b c (Å): 6.3315 6.3315 5.0390
angles (deg): 90.00 90.00 90.00
Atoms (fractional coordinates):
N (0.0000, 0.0000, 0.5000)
I (0.5000, 0.0000, 0.0000)
I (0.0000, 0.5000, 0.0000)
Mg (0.5000, 0.5000, 0.5000)
Pb (0.0000, 0.0000, 0.0000)

formation energy without anion corrections	688	meV per atom
energy above the lowest structure with this stoichiometry	543	meV/atom
total magnetization	2.2	μB/f.u.
final energy	-2.657	eV per atom
space group	P4/mmm



# 20
First-principles (PBE) data for a geometry-optimized MgPbI2N structure, as listed in the Alexandria database.

a b c (Å): 5.9348 5.9348 4.0544
angles (deg): 90.00 90.00 90.00
Atoms (fractional coordinates):
I (0.5000, 0.0000, 0.0000)
I (0.0000, 0.5000, 0.0000)
Mg (0.0000, 0.0000, 0.0000)
N (0.0000, 0.0000, 0.5000)
Pb (0.5000, 0.5000, 0.5000)

formation energy without anion corrections	145	meV per atom
energy above the lowest structure with this stoichiometry	0	meV/atom
total magnetization	1.5	μB/f.u.
final energy	-3.201	eV per atom
space group	P4/mmm